Zr2Cu3Sb: relaxed, GGA-PBE.

Calculated values
Its space-group type is P4/mmm. As for the crystal system: tetragonal. The calculation puts the formation energy without anion corrections at 0.747 eV/atom. The mass density comes out at 6452 kg/m³.

Cell lengths 2.811, 2.811, 16.116 Å; angles 90.00, 90.00, 90.00 degrees
Element x y z (fractional)
Cu 0.500 0.500 0.666
Cu 0.500 0.500 0.000
Cu 0.500 0.500 0.334
Sb 0.500 0.500 0.500
Zr 0.500 0.500 0.170
Zr 0.500 0.500 0.830